[1]
A plane-wave DFT calculation with PBE-GGA was carried out for a relaxed AgPt2 crystal.

Cell lengths 2.802, 4.112, 16.890 Å; angles 90.00, 90.00, 90.00 degrees
Sites, in units of the cell vectors:
Ag1 0.250 0.250 0.126
Ag2 0.250 0.250 0.292
Ag3 0.750 0.750 0.708
Ag4 0.750 0.750 0.874
Pt1 0.250 0.250 0.459
Pt2 0.250 0.250 0.623
Pt3 0.250 0.250 0.790
Pt4 0.250 0.250 0.960
Pt5 0.750 0.750 0.040
Pt6 0.750 0.750 0.210
Pt7 0.750 0.750 0.377
Pt8 0.750 0.750 0.541

Properties
E_form   35 meV/atom
Energy above the lowest structure with this stoichiometry   43.1 meV/atom

---

[2]
A plane-wave DFT calculation with PBE-GGA was carried out for a relaxed RhC3 crystal.

Cell lengths 2.815, 3.609, 3.840 Å; angles 90.00, 90.00, 90.00 degrees
Sites, in units of the cell vectors:
Rh1 0.000 0.000 0.000
C1 0.500 0.000 0.556
C2 0.500 0.308 0.316
C3 0.500 0.692 0.316

Properties
E_form   895 meV/atom
Energy above the lowest structure with this stoichiometry   327.7 meV/atom

---

[3]
A plane-wave DFT calculation with PBE-GGA was carried out for a relaxed RbCdHg2Pd crystal.

Cell lengths 5.424, 5.424, 5.324 Å; angles 90.00, 90.00, 90.00 degrees
Sites, in units of the cell vectors:
Rb1 0.000 0.000 0.000
Cd1 0.500 0.500 0.000
Hg1 0.000 0.500 0.500
Hg2 0.500 0.000 0.500
Pd1 0.500 0.500 0.500

Properties
E_form   -234 meV/atom

---

[4]
A plane-wave DFT calculation with PBE-GGA was carried out for a relaxed Ti2GaH crystal.

Cell lengths 5.966, 5.966, 5.966 Å; angles 130.10, 130.10, 73.25 degrees
Sites, in units of the cell vectors:
Ti1 0.000 0.000 0.000
Ti2 0.000 0.000 0.500
Ti3 0.000 0.500 0.000
Ti4 0.500 0.000 0.500
Ga1 0.375 0.625 0.750
Ga2 0.625 0.375 0.250
H1 0.125 0.875 0.250
H2 0.875 0.125 0.750

Properties
Energy above the lowest structure with this stoichiometry   487.6 meV/atom

---

Number 1: total magnetic moment 0.00 Bohr magnetons per cell. Number 2: total magnetic moment 0.00 Bohr magnetons per cell. Number 3: total magnetic moment 0.00 Bohr magnetons per cell. Number 4: total magnetic moment 0.00 Bohr magnetons per cell.